First-principles (GGA+U) data for an optimized crystal structure of VGeBrF2, as listed in Alexandria.

a = 4.1880 Å, b = 4.1880 Å, c = 6.3406 Å
α = 90.00°, β = 90.00°, γ = 90.00°
Closest atoms and distances in Å follow each position.
Sites, in units of the cell vectors:
V (0.0000, 0.0000, 0.0000)  4 Br 2.96
Ge (0.5000, 0.5000, 0.5000)  4 F 2.09
Br (0.5000, 0.5000, 0.0000)  4 V 2.96, 2 Ge 3.17
F (0.0000, 0.5000, 0.5000)  2 Ge 2.09
F (0.5000, 0.0000, 0.5000)  2 Ge 2.09

Crystal system: tetragonal
Density of states at the Fermi level (states/eV per atom): 3.1889
DFT total energy (eV for the cell shown): -22.13
M_tot (Bohr magnetons per cell): 4.0
Space-group type: P4/mmm (123)